Entry 1:
The following is a DFT calculation (PBE) of a relaxed structure of HfScVTc.

The structure in POSCAR format:
```
HfScVTc
1.0
4.6627 0.0000 0.0000
2.3313 4.0380 0.0000
2.3313 1.3460 3.8071
V Sc Hf Tc
1 1 1 1
Direct
0.2500 0.2500 0.2500
0.5000 0.5000 0.5000
0.0000 0.0000 0.0000
0.7500 0.7500 0.7500
```

Properties
V in Å³/cell: 71.7
Formation energy in eV per atom: -0.07
D(E_F) in states/eV/f.u.: 4.31
Space-group type: F-43m, No. 216



Entry 2:
The following is a DFT calculation (PBE) of a relaxed structure of Na2Bi3Pb3.

The structure in POSCAR format:
```
Na2Bi3Pb3
1.0
-2.9866 -0.2335 3.5573
1.7834 -4.7886 1.1829
7.5165 6.5867 3.7030
Bi Pb Na
3 3 2
Direct
0.0000 0.5000 0.0000
0.8700 0.8700 0.7401
0.1300 0.1300 0.2599
0.5000 0.0000 0.0000
0.3735 0.3735 0.7470
0.6265 0.6265 0.2530
0.2505 0.7505 0.5010
0.7495 0.2495 0.4990
```

Properties
V in Å³/cell: 245.5
Formation energy in eV per atom: -0.06
D(E_F) in states/eV/f.u.: 3.74
Space-group type: Immm, No. 71



Entry 3:
The following is a DFT calculation (PBE) of a relaxed structure of NaYAgHg.

The structure in POSCAR format:
```
NaYAgHg
1.0
-0.8710 -3.9479 3.1506
-0.5937 -4.7195 -1.9089
3.6331 -3.5391 0.7389
Hg Na Y Ag
1 1 1 1
Direct
0.2500 0.2500 0.2500
0.5000 0.5000 0.5000
0.0000 0.0000 0.0000
0.7500 0.7500 0.7500
```

Properties
V in Å³/cell: 95.2
Formation energy in eV per atom: -0.22
D(E_F) in states/eV/f.u.: 3.36
Space-group type: F-43m, No. 216



Entry 4:
The following is a DFT calculation (PBE) of a relaxed structure of CaLa2Pa2Ru5.

The structure in POSCAR format:
```
CaLa2Pa2Ru5
1.0
3.9446 0.0000 0.0000
0.0000 10.7643 0.0000
0.0000 0.0000 10.7643
Ca Ru La Pa
2 10 4 4
Direct
0.0000 0.5000 0.5000
0.0000 0.0000 0.0000
0.5000 0.9289 0.2300
0.5000 0.2300 0.0711
0.5000 0.0711 0.7700
0.5000 0.5711 0.7300
0.5000 0.7700 0.9289
0.5000 0.0000 0.5000
0.5000 0.7300 0.4289
0.5000 0.2700 0.5711
0.5000 0.5000 0.0000
0.5000 0.4289 0.2700
0.0000 0.6792 0.1792
0.0000 0.1792 0.3208
0.0000 0.3208 0.8208
0.0000 0.8208 0.6792
0.0000 0.1230 0.6230
0.0000 0.8770 0.3770
0.0000 0.3770 0.1230
0.0000 0.6230 0.8770
```

Properties
V in Å³/cell: 457.1
Formation energy in eV per atom: -0.16
D(E_F) in states/eV/f.u.: 7.28
Space-group type: P4/mbm, No. 127



Entry 5:
The following is a DFT calculation (PBE) of a relaxed structure of TbNdRuPt.

The structure in POSCAR format:
```
TbNdRuPt
1.0
4.9665 0.0000 0.0000
2.4833 4.3012 0.0000
2.4833 1.4337 4.0552
Ru Pt Tb Nd
1 1 1 1
Direct
0.2500 0.2500 0.2500
0.7500 0.7500 0.7500
0.0000 0.0000 0.0000
0.5000 0.5000 0.5000
```

Properties
V in Å³/cell: 86.6
Formation energy in eV per atom: -0.64
D(E_F) in states/eV/f.u.: 2.62
Space-group type: F-43m, No. 216



Entry 6:
The following is a DFT calculation (PBE) of a relaxed structure of Nb2Al2Ir.

The structure in POSCAR format:
```
Nb2Al2Ir
1.0
6.3746 0.0000 0.0000
0.0000 6.3746 0.0000
0.0000 0.0000 4.0516
Ir Nb Al
2 4 4
Direct
0.0000 0.0000 0.0000
0.5000 0.5000 0.0000
0.8392 0.3392 0.5000
0.3392 0.1608 0.5000
0.1608 0.6608 0.5000
0.6608 0.8392 0.5000
0.1423 0.3577 0.0000
0.3577 0.8577 0.0000
0.8577 0.6423 0.0000
0.6423 0.1423 0.0000
```

Properties
V in Å³/cell: 164.6
Formation energy in eV per atom: -0.40
D(E_F) in states/eV/f.u.: 2.36
Space-group type: P4/mbm, No. 127



Entry 7:
The following is a DFT calculation (PBE) of a relaxed structure of AlZnInPb.

The structure in POSCAR format:
```
AlZnInPb
1.0
-0.2370 -3.7527 3.4726
1.6279 -4.7023 -1.1984
4.2998 -1.8293 2.0887
In Zn Al Pb
1 1 1 1
Direct
0.0000 0.0000 0.0000
0.7500 0.7500 0.7500
0.2500 0.2500 0.2500
0.5000 0.5000 0.5000
```

Properties
V in Å³/cell: 94.8
Formation energy in eV per atom: 0.20
D(E_F) in states/eV/f.u.: 1.93
Space-group type: F-43m, No. 216



Entry 8:
The following is a DFT calculation (PBE) of a relaxed structure of HfIrS3.

The structure in POSCAR format:
```
HfIrS3
1.0
4.8672 0.0000 0.0000
0.0000 4.8672 0.0000
0.0000 0.0000 4.8672
Ir S Hf
1 3 1
Direct
0.5000 0.5000 0.5000
0.5000 0.0000 0.0000
0.0000 0.0000 0.5000
0.0000 0.5000 0.0000
0.0000 0.0000 0.0000
```

Properties
V in Å³/cell: 115.3
Energy relative to the elements, uncorrected in eV/atom: 0.46
D(E_F) in states/eV/f.u.: 5.05
Space-group type: Pm-3m, No. 221



Entry 9:
The following is a DFT calculation (PBE) of a relaxed structure of Ba2ScAsRu.

The structure in POSCAR format:
```
Ba2ScAsRu
1.0
6.3560 0.0000 0.0000
0.0000 4.9124 0.0000
0.0000 0.0000 6.3560
Ba As Ru Sc
2 1 1 1
Direct
0.0000 0.0000 0.5000
0.5000 0.0000 0.0000
0.0000 0.5000 0.0000
0.5000 0.5000 0.5000
0.0000 0.0000 0.0000
```

Properties
V in Å³/cell: 198.5
Formation energy in eV per atom: 0.81
D(E_F) in states/eV/f.u.: 5.71
Space-group type: P4/mmm, No. 123



Entry 10:
The following is a DFT calculation (PBE) of a relaxed structure of TbSm4Y4.

The structure in POSCAR format:
```
TbSm4Y4
1.0
5.0788 0.0000 0.0000
2.5394 7.6323 0.0000
2.5394 0.0000 7.6323
Y Sm Tb
4 4 1
Direct
0.3340 0.3322 0.9998
0.6660 0.6678 0.0002
0.6662 0.9998 0.6678
0.3338 0.0002 0.3322
0.6670 0.3330 0.3330
0.0000 0.3330 0.6670
0.0000 0.6670 0.3330
0.3330 0.6670 0.6670
0.0000 0.0000 0.0000
```

Properties
V in Å³/cell: 295.9
Formation energy in eV per atom: 0.02
D(E_F) in states/eV/f.u.: 13.66
Space-group type: I4/mmm, No. 139



Entry 11:
The following is a DFT calculation (PBE) of a relaxed structure of LaLuCo2.

The structure in POSCAR format:
```
LaLuCo2
1.0
-1.1366 0.7447 3.0942
-0.2083 -3.2959 0.7168
6.3842 0.1012 2.3207
La Co Lu
1 2 1
Direct
0.5000 0.5000 0.5000
0.0000 0.0000 0.7705
0.0000 0.0000 0.2295
0.5000 0.5000 0.0000
```

Properties
V in Å³/cell: 77.6
Formation energy in eV per atom: -0.08
D(E_F) in states/eV/f.u.: 2.13
Space-group type: P4/mmm, No. 123



Entry 12:
The following is a DFT calculation (PBE) of a relaxed structure of ZrTaMo2.

The structure in POSCAR format:
```
ZrTaMo2
1.0
-0.1786 -0.1739 5.3570
-0.1662 -4.8537 -2.2744
2.6185 -1.0286 0.6350
Zr Mo Ta
1 2 1
Direct
0.0000 0.5000 0.5000
0.5000 0.5000 0.0000
0.0000 0.0000 0.0000
0.5000 0.0000 0.5000
```

Properties
V in Å³/cell: 71.0
Formation energy in eV per atom: 0.03
D(E_F) in states/eV/f.u.: 4.19
Space-group type: C2/m, No. 12